The following is a SCAN calculation of a crystal of Nd2H5 relaxed with PBEsol, from the Alexandria database.

Cell: 6.6060 6.6060 6.6060 Å, 132.39 132.39 69.62°
Positions (direct):
Nd  0.1208  0.3708  0.7500
Nd  0.3708  0.1208  0.2500
Nd  0.6292  0.8792  0.7500
Nd  0.8792  0.6292  0.2500
H  0.0000  0.2686  0.2686
H  0.0000  0.7314  0.7314
H  0.1250  0.8750  0.2500
H  0.2686  0.0000  0.7686
H  0.2686  0.5000  0.2686
H  0.5000  0.2686  0.7686
H  0.5000  0.7314  0.2314
H  0.7314  0.0000  0.2314
H  0.7314  0.5000  0.7314
H  0.8750  0.1250  0.7500

Results
Energy in eV per atom: -15.62
Density in g/cm³: 6.32
SG: I4_1/amd (141)

---

The following is a SCAN calculation of a crystal of NdH3 relaxed with PBEsol, from the Alexandria database.

Cell: 6.5559 6.5559 6.7603 Å, 90.00 90.00 120.00°
Positions (direct):
Nd  0.0000  0.3363  0.2500
Nd  0.0000  0.6637  0.7500
Nd  0.3363  0.0000  0.2500
Nd  0.3363  0.3363  0.7500
Nd  0.6637  0.0000  0.7500
Nd  0.6637  0.6637  0.2500
H  0.0000  0.0000  0.2500
H  0.0000  0.0000  0.7500
H  0.0230  0.3447  0.9042
H  0.0230  0.6783  0.4042
H  0.3217  0.3447  0.4042
H  0.3217  0.9770  0.9042
H  0.3333  0.6667  0.1676
H  0.3333  0.6667  0.6676
H  0.3447  0.0230  0.5958
H  0.3447  0.3217  0.0958
H  0.6553  0.6783  0.9042
H  0.6553  0.9770  0.4042
H  0.6667  0.3333  0.3324
H  0.6667  0.3333  0.8324
H  0.6783  0.0230  0.0958
H  0.6783  0.6553  0.5958
H  0.9770  0.3217  0.5958
H  0.9770  0.6553  0.0958

Results
Energy in eV per atom: -14.15
Density in g/cm³: 5.83
SG: P-3c1 (165)

---

The following is a SCAN calculation of a crystal of NdNiSnH relaxed with PBEsol, from the Alexandria database.

Cell: 7.1294 4.3313 8.3381 Å, 90.00 90.00 90.00°
Positions (direct):
Nd  0.0135  0.2500  0.1901
Nd  0.4865  0.7500  0.6901
Nd  0.5135  0.2500  0.3099
Nd  0.9865  0.7500  0.8099
Ni  0.2205  0.7500  0.3992
Ni  0.2795  0.2500  0.8992
Ni  0.7205  0.7500  0.1008
Ni  0.7795  0.2500  0.6008
Sn  0.1596  0.2500  0.5697
Sn  0.3404  0.7500  0.0697
Sn  0.6596  0.2500  0.9303
Sn  0.8404  0.7500  0.4303
H  0.0576  0.2500  0.9185
H  0.4424  0.7500  0.4185
H  0.5576  0.2500  0.5815
H  0.9424  0.7500  0.0815

Results
Energy in eV per atom: -25.46
Density in g/cm³: 8.32
SG: Pnma (62)

---

The following is a SCAN calculation of a crystal of NdNiSnH2 relaxed with PBEsol, from the Alexandria database.

Cell: 4.3282 4.3282 8.3870 Å, 90.00 90.00 120.00°
Positions (direct):
Nd  0.0000  0.0000  0.0000
Nd  0.0000  0.0000  0.5000
Ni  0.3333  0.6667  0.2500
Ni  0.6667  0.3333  0.7500
Sn  0.3333  0.6667  0.7500
Sn  0.6667  0.3333  0.2500
H  0.3333  0.6667  0.0604
H  0.3333  0.6667  0.4396
H  0.6667  0.3333  0.5604
H  0.6667  0.3333  0.9396

Results
Energy in eV per atom: -21.15
Density in g/cm³: 7.90
SG: P6_3/mmc (194)